Model i:
NdEr4Tm7 after structural relaxation, computed with GGA-PBE.

- total magnetization (μB/atom) = 0.000
- volume (Å³ per cell) = 381.9

Cell lengths 5.782, 11.401, 6.651 Å; angles 83.05, 64.24, 75.31 degrees
Fractional positions:
Tm 0.364 0.505 0.767
Tm 0.636 0.495 0.233
Tm 0.058 0.669 0.214
Tm 0.942 0.331 0.786
Tm 0.211 0.077 0.500
Tm 0.500 0.000 0.000
Tm 0.789 0.923 0.500
Er 0.749 0.684 0.818
Er 0.631 0.226 0.512
Er 0.251 0.316 0.182
Er 0.369 0.774 0.488
Nd 0.000 0.000 0.000

***

Model ii:
NdEr4Tm7 after structural relaxation, computed with GGA-PBE.

- total magnetization (μB/atom) = 0.000
- volume (Å³ per cell) = 371.2

Cell lengths 6.899, 6.643, 11.971 Å; angles 72.54, 45.19, 76.65 degrees
Fractional positions:
Er 0.269 0.188 0.336
Er 0.731 0.812 0.664
Er 0.449 0.655 0.317
Er 0.551 0.345 0.683
Tm 0.932 0.678 0.331
Tm 0.264 0.818 0.630
Tm 0.736 0.182 0.370
Tm 0.774 0.521 0.973
Tm 0.068 0.322 0.669
Tm 0.226 0.479 0.027
Tm 0.500 0.000 0.000
Nd 0.000 0.000 0.000

***

In order of decreasing stability: model ii, model i.

***

Model i:
Nd4Er2Tm after structural relaxation, computed with GGA-PBE.

- total magnetization (μB/atom) = 0.000
- volume (Å³ per cell) = 464.7

Cell lengths 6.245, 6.648, 11.569 Å; angles 90.00, 104.62, 90.00 degrees
Fractional positions:
Nd 0.646 0.511 0.284
Nd 0.151 0.750 0.451
Nd 0.646 0.989 0.284
Nd 0.849 0.250 0.549
Nd 0.046 0.750 0.867
Nd 0.354 0.011 0.716
Nd 0.954 0.250 0.133
Nd 0.354 0.489 0.716
Tm 0.149 0.750 0.164
Tm 0.851 0.250 0.836
Er 0.288 0.250 0.421
Er 0.389 0.250 0.006
Er 0.712 0.750 0.579
Er 0.611 0.750 0.994

***

Model ii:
Nd4Er2Tm after structural relaxation, computed with GGA-PBE.

- total magnetization (μB/atom) = 0.000
- volume (Å³ per cell) = 467.9

Cell lengths 12.545, 12.545, 6.795 Å; angles 97.01, 97.01, 150.20 degrees
Fractional positions:
Er 0.621 0.303 0.451
Er 0.303 0.621 0.951
Er 0.102 0.920 0.548
Er 0.920 0.102 0.048
Nd 0.795 0.186 0.395
Nd 0.710 0.172 0.859
Nd 0.042 0.151 0.605
Nd 0.564 0.601 0.142
Nd 0.151 0.042 0.105
Nd 0.186 0.795 0.895
Nd 0.601 0.564 0.642
Nd 0.172 0.710 0.359
Tm 0.672 0.422 0.000
Tm 0.422 0.672 0.500

***

In order of decreasing stability: model ii, model i.

***

Model i:
NdEr8Tm6 after structural relaxation, computed with GGA-PBE.

- total magnetization (μB/atom) = 0.000
- volume (Å³ per cell) = 482.9

Cell lengths 6.414, 9.324, 9.324 Å; angles 120.00, 90.00, 90.00 degrees
Fractional positions:
Er 0.093 0.314 0.340
Er 0.907 0.686 0.660
Er 0.830 0.333 0.667
Er 0.907 0.974 0.314
Er 0.170 0.667 0.333
Er 0.093 0.660 0.974
Er 0.907 0.340 0.026
Er 0.093 0.026 0.686
Tm 0.590 0.418 0.319
Tm 0.590 0.681 0.099
Tm 0.410 0.099 0.418
Tm 0.410 0.319 0.901
Tm 0.410 0.582 0.681
Tm 0.590 0.901 0.582
Nd 0.500 0.000 0.000

***

Model ii:
NdEr8Tm6 after structural relaxation, computed with GGA-PBE.

- total magnetization (μB/atom) = 0.000
- volume (Å³ per cell) = 467.9

Cell lengths 8.921, 8.921, 8.521 Å; angles 58.43, 58.43, 60.00 degrees
Fractional positions:
Er 0.890 0.256 0.574
Er 0.720 0.110 0.426
Er 0.576 0.576 0.271
Er 0.424 0.424 0.729
Er 0.280 0.890 0.574
Er 0.256 0.280 0.574
Er 0.744 0.720 0.426
Er 0.110 0.744 0.426
Tm 0.538 0.109 0.121
Tm 0.891 0.769 0.879
Tm 0.109 0.231 0.121
Tm 0.769 0.462 0.879
Tm 0.462 0.891 0.879
Tm 0.231 0.538 0.121
Nd 0.000 0.000 0.000

***

In order of decreasing stability: model ii, model i.

***

Model i:
Nd3ErTm after structural relaxation, computed with GGA-PBE.

- total magnetization (μB/atom) = 0.000
- volume (Å³ per cell) = 670.3

Cell lengths 11.908, 8.838, 8.838 Å; angles 66.93, 58.76, 58.76 degrees
Fractional positions:
Tm 0.250 0.358 0.642
Tm 0.750 0.642 0.358
Tm 0.750 0.996 0.004
Tm 0.250 0.004 0.996
Nd 0.096 0.322 0.312
Nd 0.916 0.356 0.068
Nd 0.084 0.644 0.932
Nd 0.953 0.900 0.243
Nd 0.047 0.100 0.757
Nd 0.547 0.757 0.100
Nd 0.904 0.678 0.688
Nd 0.584 0.932 0.644
Nd 0.416 0.068 0.356
Nd 0.404 0.688 0.678
Nd 0.596 0.312 0.322
Nd 0.453 0.243 0.900
Er 0.820 0.162 0.550
Er 0.680 0.450 0.838
Er 0.180 0.838 0.450
Er 0.320 0.550 0.162

***

Model ii:
Nd3ErTm after structural relaxation, computed with GGA-PBE.

- total magnetization (μB/atom) = 0.000
- volume (Å³ per cell) = 688.8

Cell lengths 3.565, 11.017, 17.539 Å; angles 90.00, 90.00, 90.00 degrees
Fractional positions:
Nd 0.257 0.500 0.250
Nd 0.755 0.056 0.076
Nd 0.245 0.556 0.924
Nd 0.257 0.000 0.250
Nd 0.755 0.556 0.424
Nd 0.245 0.944 0.924
Nd 0.755 0.944 0.424
Nd 0.245 0.444 0.576
Nd 0.245 0.056 0.576
Nd 0.755 0.444 0.076
Nd 0.743 0.500 0.750
Nd 0.743 0.000 0.750
Er 0.759 0.750 0.274
Er 0.241 0.750 0.774
Er 0.241 0.250 0.726
Er 0.759 0.250 0.226
Tm 0.739 0.250 0.899
Tm 0.261 0.250 0.399
Tm 0.261 0.750 0.101
Tm 0.739 0.750 0.601

***

In order of decreasing stability: model i, model ii.

***

Model i:
Nd4Er3Tm8 after structural relaxation, computed with GGA-PBE.

- total magnetization (μB/atom) = 0.000
- volume (Å³ per cell) = 483.8

Cell lengths 6.900, 6.900, 12.392 Å; angles 73.83, 73.83, 60.00 degrees
Fractional positions:
Tm 0.246 0.750 0.254
Tm 0.754 0.250 0.746
Tm 0.250 0.754 0.746
Tm 0.756 0.756 0.733
Tm 0.250 0.250 0.746
Tm 0.244 0.244 0.267
Tm 0.750 0.246 0.254
Tm 0.750 0.750 0.254
Nd 0.000 0.000 0.000
Nd 0.337 0.337 0.990
Nd 0.500 0.500 0.500
Nd 0.663 0.663 0.010
Er 0.000 0.000 0.500
Er 0.500 0.000 0.500
Er 0.000 0.500 0.500

***

Model ii:
Nd4Er3Tm8 after structural relaxation, computed with GGA-PBE.

- total magnetization (μB/atom) = 0.004
- volume (Å³ per cell) = 494.5

Cell lengths 6.690, 9.257, 9.257 Å; angles 87.74, 111.34, 111.34 degrees
Fractional positions:
Tm 0.005 0.270 0.270
Tm 0.000 0.636 0.364
Tm 0.524 0.268 0.268
Tm 0.995 0.730 0.730
Tm 0.000 0.364 0.636
Tm 0.476 0.732 0.732
Tm 0.500 0.255 0.745
Tm 0.500 0.745 0.255
Er 0.500 0.500 0.500
Er 0.500 0.000 0.500
Er 0.500 0.500 0.000
Nd 0.000 0.500 0.000
Nd 0.500 0.000 0.000
Nd 0.000 0.000 0.500
Nd 0.000 0.000 0.000

***

In order of decreasing stability: model i, model ii.

***

Model i:
Nd7Er3Tm after structural relaxation, computed with GGA-PBE.

- total magnetization (μB/atom) = 0.000
- volume (Å³ per cell) = 380.5

Cell lengths 5.895, 8.558, 8.558 Å; angles 83.28, 110.17, 110.17 degrees
Fractional positions:
Nd 0.309 0.597 0.020
Nd 0.000 0.500 0.500
Nd 0.309 0.020 0.597
Nd 0.691 0.980 0.403
Nd 0.790 0.791 0.791
Nd 0.210 0.209 0.209
Nd 0.691 0.403 0.980
Er 0.500 0.000 0.000
Er 0.000 0.795 0.205
Er 0.000 0.205 0.795
Tm 0.500 0.500 0.500

***

Model ii:
Nd7Er3Tm after structural relaxation, computed with GGA-PBE.

- total magnetization (μB/atom) = 0.000
- volume (Å³ per cell) = 756.7

Cell lengths 10.184, 10.184, 13.245 Å; angles 100.73, 100.72, 139.31 degrees
Fractional positions:
Nd 0.546 0.865 0.455
Nd 0.087 0.912 0.750
Nd 0.104 0.433 0.518
Nd 0.451 0.549 0.750
Nd 0.896 0.567 0.482
Nd 0.134 0.453 0.045
Nd 0.454 0.135 0.545
Nd 0.866 0.547 0.955
Nd 0.090 0.911 0.250
Nd 0.549 0.451 0.250
Nd 0.913 0.088 0.250
Nd 0.910 0.089 0.750
Nd 0.567 0.896 0.982
Nd 0.433 0.104 0.018
Er 0.502 0.983 0.750
Er 0.984 0.502 0.250
Er 0.000 0.000 0.500
Er 0.498 0.017 0.250
Er 0.016 0.498 0.750
Er 0.000 0.000 0.000
Tm 0.500 0.500 0.500
Tm 0.500 0.500 0.000

***

In order of decreasing stability: model ii, model i.

***

Model i:
Nd3ErTm3 after structural relaxation, computed with GGA-PBE.

- total magnetization (μB/atom) = 0.000
- volume (Å³ per cell) = 475.7

Cell lengths 6.186, 6.186, 14.790 Å; angles 77.93, 77.93, 60.00 degrees
Fractional positions:
Tm 0.603 0.936 0.192
Tm 0.936 0.269 0.192
Tm 0.064 0.731 0.808
Tm 0.731 0.397 0.808
Tm 0.269 0.603 0.192
Tm 0.397 0.064 0.808
Nd 0.539 0.201 0.391
Nd 0.131 0.461 0.609
Nd 0.461 0.799 0.609
Nd 0.201 0.869 0.391
Nd 0.869 0.539 0.391
Nd 0.799 0.131 0.609
Er 0.667 0.667 0.000
Er 0.333 0.333 0.000

***

Model ii:
Nd3ErTm3 after structural relaxation, computed with GGA-PBE.

- total magnetization (μB/atom) = 0.000
- volume (Å³ per cell) = 456.2

Cell lengths 5.729, 9.588, 9.588 Å; angles 120.00, 90.00, 90.00 degrees
Fractional positions:
Tm 0.250 0.520 0.616
Tm 0.750 0.616 0.095
Tm 0.250 0.095 0.480
Tm 0.750 0.905 0.520
Tm 0.750 0.480 0.384
Tm 0.250 0.384 0.905
Er 0.250 0.667 0.333
Er 0.750 0.333 0.667
Nd 0.250 0.244 0.195
Nd 0.750 0.050 0.244
Nd 0.750 0.195 0.951
Nd 0.250 0.950 0.756
Nd 0.750 0.756 0.805
Nd 0.250 0.805 0.049

***

In order of decreasing stability: model ii, model i.

***

Model i:
Nd4ErTm3 after structural relaxation, computed with GGA-PBE.

- total magnetization (μB/atom) = 0.000
- volume (Å³ per cell) = 527.6

Cell lengths 6.277, 7.310, 11.497 Å; angles 90.00, 90.00, 90.00 degrees
Fractional positions:
Nd 0.144 0.871 0.000
Nd 0.483 0.871 0.249
Nd 0.983 0.129 0.749
Nd 0.983 0.129 0.251
Nd 0.644 0.129 0.500
Nd 0.483 0.871 0.751
Nd 0.146 0.871 0.500
Nd 0.646 0.129 0.000
Tm 0.148 0.381 0.500
Tm 0.648 0.619 0.000
Tm 0.481 0.380 0.250
Tm 0.981 0.620 0.750
Tm 0.981 0.620 0.250
Tm 0.481 0.380 0.750
Er 0.648 0.620 0.500
Er 0.148 0.380 0.000

***

Model ii:
Nd4ErTm3 after structural relaxation, computed with GGA-PBE.

- total magnetization (μB/atom) = 0.000
- volume (Å³ per cell) = 266.8

Cell lengths 5.657, 3.650, 13.226 Å; angles 90.01, 102.35, 90.00 degrees
Fractional positions:
Nd 0.723 0.499 0.445
Nd 0.277 0.501 0.555
Nd 0.398 0.500 0.796
Nd 0.602 0.500 0.204
Tm 0.850 0.001 0.700
Tm 0.000 0.500 0.000
Tm 0.150 0.999 0.300
Er 0.500 0.000 0.000

***

In order of decreasing stability: model i, model ii.